Density functional theory data (GGA+U) for a relaxed Y2VPbO6 crystal.

- V: 164.2 Å³/f.u.
- Total DFT energy (no corrections): -7.710 eV per atom

Unit cell a=5.601 b=5.414 c=5.414 alpha=90.00 beta=90.00 gamma=90.00
Each line ends with the local moment (μB).
Element x y z (fractional)
O (0.752, 0.770, 0.770)  -0.01
O (0.108, 0.500, 0.500)  -0.01
O (0.292, 0.000, 0.000)  -0.06
O (0.752, 0.770, 0.230)  -0.01
O (0.752, 0.230, 0.770)  -0.01
O (0.752, 0.230, 0.230)  -0.01
Pb (0.520, 0.500, 0.500)  0.00
Y (0.957, 0.000, 0.500)  0.01
Y (0.957, 0.500, 0.000)  0.01
V (0.607, 0.000, 0.000)  1.05